1.
LiTbErCo | PBE | relaxed

a b c (Å): 4.8456 4.8456 4.8456
angles (deg): 60.00 60.00 60.00
Atoms (fractional coordinates):
Li 0.0000 0.0000 0.0000
Tb 0.2500 0.2500 0.2500
Er 0.7500 0.7500 0.7500
Co 0.5000 0.5000 0.5000

total moment	0.0	μB/cell
volume	80	Å³ per cell
ΔH_f (0 K)	-83	meV/atom

***

2.
TbTmPa | PBE | relaxed

a b c (Å): 8.9607 8.9607 8.9607
angles (deg): 150.01 150.01 42.93
Atoms (fractional coordinates):
Tb 0.1473 0.1473 0.0000
Tb 0.8527 0.8527 0.0000
Tm 0.3540 0.3540 0.0000
Tm 0.6460 0.6460 0.0000
Pa 0.0000 0.5000 0.5000
Pa 0.5000 0.0000 0.5000

total moment	0.0	μB/cell
volume	179	Å³ per cell
ΔH_f (0 K)	274	meV/atom

***

3.
Rb2AcCuBr6 | PBE | relaxed

a b c (Å): 8.3910 9.1211 13.1426
angles (deg): 90.00 128.92 90.00
Atoms (fractional coordinates):
Rb 0.2279 0.0832 0.2469
Rb 0.2279 0.4168 0.7469
Rb 0.7721 0.5832 0.2531
Rb 0.7721 0.9168 0.7531
Ac 0.0000 0.0000 0.5000
Ac 0.0000 0.5000 0.0000
Cu 0.5000 0.0000 0.0000
Cu 0.5000 0.5000 0.5000
Br 0.1279 0.2158 0.9521
Br 0.1279 0.2842 0.4521
Br 0.2482 0.6722 0.9486
Br 0.2482 0.8278 0.4486
Br 0.3887 0.0335 0.7904
Br 0.3887 0.4665 0.2904
Br 0.6113 0.5335 0.7096
Br 0.6113 0.9665 0.2096
Br 0.7518 0.1722 0.5514
Br 0.7518 0.3278 0.0514
Br 0.8721 0.7158 0.5479
Br 0.8721 0.7842 0.0479

total moment	0.3	μB/cell
volume	783	Å³ per cell
ΔE_f (raw)	-1533	meV per atom

***

4.
LaScRe | PBE | relaxed

a b c (Å): 6.8657 6.8657 6.8657
angles (deg): 151.40 151.40 40.89
Atoms (fractional coordinates):
La 0.0000 0.0000 0.0000
Sc 0.7431 0.7431 0.0000
Re 0.3555 0.3555 0.0000

total moment	0.0	μB/cell
volume	74	Å³ per cell
ΔH_f (0 K)	156	meV/atom

***

5.
YMg2Al | PBE | relaxed

a b c (Å): 4.3743 4.4167 4.7642
angles (deg): 90.00 90.00 90.00
Atoms (fractional coordinates):
Y 0.0000 0.0000 0.0000
Mg 0.0000 0.5000 0.5000
Mg 0.5000 0.0000 0.5000
Al 0.5000 0.5000 0.0000

total moment	0.0	μB/cell
volume	92	Å³ per cell
ΔH_f (0 K)	-224	meV/atom

***

6.
ScUNbC3 | PBE | relaxed

a b c (Å): 5.7123 3.3033 8.6067
angles (deg): 90.00 102.62 90.00
Atoms (fractional coordinates):
Sc 0.2299 0.2500 0.4467
Sc 0.7701 0.7500 0.5533
U 0.3511 0.7500 0.8047
U 0.6489 0.2500 0.1953
Nb 0.1329 0.7500 0.1351
Nb 0.8671 0.2500 0.8649
C 0.0608 0.2500 0.6722
C 0.2621 0.2500 0.0086
C 0.4481 0.7500 0.3229
C 0.5519 0.2500 0.6771
C 0.7379 0.7500 0.9914
C 0.9392 0.7500 0.3278

total moment	0.0	μB/cell
volume	158	Å³ per cell
ΔH_f (0 K)	-361	meV/atom

***

7.
SmAlV | PBE | relaxed

a b c (Å): 8.1768 8.1768 8.1768
angles (deg): 159.80 159.80 28.72
Atoms (fractional coordinates):
Sm 0.0000 0.0000 0.0000
Al 0.6594 0.6594 0.0000
V 0.8190 0.8190 0.0000

total moment	0.0	μB/cell
volume	65	Å³ per cell
ΔH_f (0 K)	849	meV/atom

***

8.
Pr2ErAl2Pd5 | PBE | relaxed

a b c (Å): 10.4068 10.4068 3.7288
angles (deg): 90.00 90.00 90.00
Atoms (fractional coordinates):
Pr 0.1783 0.3217 0.0000
Pr 0.3217 0.8217 0.0000
Pr 0.6783 0.1783 0.0000
Pr 0.8217 0.6783 0.0000
Er 0.0000 0.0000 0.0000
Er 0.5000 0.5000 0.0000
Al 0.1180 0.6180 0.0000
Al 0.3820 0.1180 0.0000
Al 0.6180 0.8820 0.0000
Al 0.8820 0.3820 0.0000
Pd 0.0000 0.5000 0.5000
Pd 0.0642 0.7827 0.5000
Pd 0.2173 0.0642 0.5000
Pd 0.2827 0.5642 0.5000
Pd 0.4358 0.2827 0.5000
Pd 0.5000 0.0000 0.5000
Pd 0.5642 0.7173 0.5000
Pd 0.7173 0.4358 0.5000
Pd 0.7827 0.9358 0.5000
Pd 0.9358 0.2173 0.5000

total moment	0.0	μB/cell
volume	404	Å³ per cell
ΔH_f (0 K)	-810	meV/atom